# 1
This record from the Alexandria database describes a relaxed RbTa2BiRu crystal. The functional is PBE-GGA.

a = 5.3469 Å, b = 5.3469 Å, c = 5.1345 Å
α = 90.00°, β = 90.00°, γ = 90.00°
Space group P4/mmm (No. 123)
One atom of each set of equivalent atoms:
Rb (0.0000, 0.0000, 0.0000)
Ta (0.0000, 0.5000, 0.5000)
Bi (0.5000, 0.5000, 0.5000)
Ru (0.5000, 0.5000, 0.0000)

Calculated values
- Density of states at the Fermi level: 10.26 states/eV/f.u.
- VASP energy: -26.79 eV per cell
- Calculated formation energy: 2207 meV/atom

# 2
This record from the Alexandria database describes a relaxed Mn2AsP crystal. The functional is PBE-GGA.

a = 3.1759 Å, b = 4.3843 Å, c = 4.3798 Å
α = 90.00°, β = 111.09°, γ = 90.00°
Space group Pm (No. 6)
One atom of each set of equivalent atoms:
Mn (0.0000, 0.0000, 0.0000)
Mn (0.4291, 0.5000, 0.8576)
As (0.1334, 0.5000, 0.2699)
P (0.3109, 0.0000, 0.6187)

Calculated values
- Density of states at the Fermi level: 2.71 states/eV/f.u.
- VASP energy: -29.07 eV per cell
- Calculated formation energy: -168 meV/atom

# 3
This record from the Alexandria database describes a relaxed Pm5Si2Ge2 crystal. The functional is PBE-GGA.

a = 16.3093 Å, b = 7.8878 Å, c = 7.4313 Å
α = 90.00°, β = 90.00°, γ = 90.00°
Space group Ima2 (No. 46)
One atom of each set of equivalent atoms:
Pm (0.0572, 0.1717, 0.0000)
Pm (0.1535, 0.6883, 0.8368)
Pm (0.2500, 0.1387, 0.6792)
Si (0.0738, 0.5354, 0.1569)
Ge (0.0000, 0.0000, 0.3444)
Ge (0.2500, 0.9999, 0.0447)

Calculated values
- Density of states at the Fermi level: 7.41 states/eV/f.u.
- VASP energy: -196.29 eV per cell
- Formation energy from raw total energies: -582 meV per atom

# 4
This record from the Alexandria database describes a relaxed MnOsAu2 crystal. The functional is PBE-GGA.

a = 5.7012 Å, b = 8.0630 Å, c = 2.8027 Å
α = 90.00°, β = 90.00°, γ = 90.00°
Space group Cmmm (No. 65)
One atom of each set of equivalent atoms:
Mn (0.0000, 0.0000, 0.0000)
Os (0.0000, 0.5000, 0.0000)
Au (0.2500, 0.2500, 0.5000)

Calculated values
- Offset from the most stable computed form: 164 meV per atom
- Density of states at the Fermi level: 3.37 states/eV/f.u.
- VASP energy: -50.82 eV per cell
- Calculated formation energy: 387 meV/atom

# 5
This record from the Alexandria database describes a relaxed P4Os5 crystal. The functional is PBE-GGA.

a = 6.5678 Å, b = 6.5678 Å, c = 6.8786 Å
α = 90.00°, β = 90.00°, γ = 120.00°
Space group P6_3/mcm (No. 193)
One atom of each set of equivalent atoms:
P (0.0000, 0.0000, 0.0000)
P (0.0000, 0.4117, 0.2500)
Os (0.0000, 0.2537, 0.7500)
Os (0.3333, 0.6667, 0.0000)

Calculated values
- Offset from the most stable computed form: 0 meV per atom
- Density of states at the Fermi level: 4.22 states/eV/f.u.
- VASP energy: -151.55 eV per cell
- Calculated formation energy: 224 meV/atom

# 6
This record from the Alexandria database describes a relaxed Tm2BeCo crystal. The functional is PBE-GGA.

a = 6.5595 Å, b = 3.7852 Å, c = 7.0094 Å
α = 90.00°, β = 108.16°, γ = 90.00°
Space group Cm (No. 8)
One atom of each set of equivalent atoms:
Tm (0.0000, 0.0000, 0.0000)
Tm (0.1758, 0.0000, 0.5283)
Be (0.2555, 0.5000, 0.2648)
Co (0.4217, 0.0000, 0.2631)

Calculated values
- Offset from the most stable computed form: 5 meV per atom
- Density of states at the Fermi level: 4.30 states/eV/f.u.
- VASP energy: -40.99 eV per cell
- Calculated formation energy: -179 meV/atom

# 7
This record from the Alexandria database describes a relaxed CoSb2 crystal. The functional is PBE-GGA.

a = 12.7492 Å, b = 3.3718 Å, c = 7.2909 Å
α = 90.00°, β = 122.14°, γ = 90.00°
Space group C2/m (No. 12)
One atom of each set of equivalent atoms:
Co (0.1110, 0.0000, 0.0365)
Sb (0.0548, 0.5000, 0.2520)
Sb (0.2030, 0.0000, 0.7835)

Calculated values
- Density of states at the Fermi level: 1.36 states/eV/f.u.
- VASP energy: -62.03 eV per cell
- Formation energy from raw total energies: -52 meV per atom

# 8
This record from the Alexandria database describes a relaxed TiN2OF crystal. The functional is PBE-GGA.

a = 4.1429 Å, b = 4.1429 Å, c = 3.7272 Å
α = 90.00°, β = 90.00°, γ = 90.00°
Space group P4/mmm (No. 123)
One atom of each set of equivalent atoms:
Ti (0.0000, 0.0000, 0.0000)
N (0.0000, 0.5000, 0.0000)
O (0.0000, 0.0000, 0.5000)
F (0.5000, 0.5000, 0.5000)

Calculated values
- Density of states at the Fermi level: 5.83 states/eV/f.u.
- VASP energy: -29.92 eV per cell
- Formation energy from raw total energies: 290 meV per atom

no.,spin magnetization (μB per atom)
1,0.00
2,0.72
3,0.00
4,1.10
5,0.00
6,0.00
7,0.00
8,0.75